Below is a crystal of Ba2HfB2 relaxed with PBEsol, with properties calculated at the SCAN level.

abc: 6.375 6.375 6.375
angles: 134.18 134.18 66.80
Element x y z (fractional)
Ba1 0.143 0.143 0.000
Ba2 0.857 0.857 0.000
Hf1 0.500 0.500 0.000
B1 0.250 0.750 0.500
B2 0.750 0.250 0.500

***

Below is a crystal of BaHgB3 relaxed with PBEsol, with properties calculated at the SCAN level.

abc: 5.033 5.033 5.033
angles: 90.00 90.00 90.00
Element x y z (fractional)
Ba1 0.000 0.000 0.000
Hg1 0.500 0.500 0.500
B1 0.000 0.000 0.500
B2 0.000 0.500 0.000
B3 0.500 0.000 0.000

***

no.,formation enthalpy at 0 K (eV/atom)
1,1.7786
2,2.8701